1.
ErTm4Rh after structural relaxation. Source: the Alexandria database, functional GGA-PBE.

As for the formation energy from the elements: -0.18 eV per atom. For the density of states at the Fermi level, the calculation gives 1.325 states/eV per atom.

The structure belongs to space group Cmc2_1 (No. 36); the cell edges are 5.463, 18.239 and 7.340 Å and the angles 90.00°, 90.00° and 90.00°. The inequivalent atoms are Er at (0.000, 0.122, 0.000), Tm at (0.000, 0.119, 0.500), Tm at (0.000, 0.297, 0.255), Tm at (0.000, 0.298, 0.744), Tm at (0.000, 0.499, 0.252) and Rh at (0.000, 0.398, 0.001).

=====

2.
Er3Tm2Rh2 after structural relaxation. Source: the Alexandria database, functional GGA-PBE.

As for the formation energy from the elements: -0.62 eV per atom. For the density of states at the Fermi level, the calculation gives 0.846 states/eV per atom.

The structure belongs to space group C2/m (No. 12); the cell edges are 11.847, 3.771 and 8.777 Å and the angles 90.00°, 116.13° and 90.00°. The inequivalent atoms are Er at (0.000, 0.000, 0.000), Er at (0.116, 0.000, 0.430), Tm at (0.166, 0.500, 0.808) and Rh at (0.178, 0.500, 0.238).

=====

3.
ErTm6Rh2 after structural relaxation. Source: the Alexandria database, functional GGA-PBE.

As for the formation energy from the elements: -0.44 eV per atom. For the density of states at the Fermi level, the calculation gives 0.956 states/eV per atom.

The structure belongs to space group C2/m (No. 12); the cell edges are 15.703, 3.690 and 10.672 Å and the angles 90.00°, 130.19° and 90.00°. The inequivalent atoms are Er at (0.000, 0.000, 0.000), Tm at (0.020, 0.000, 0.689), Tm at (0.194, 0.500, 0.053), Tm at (0.226, 0.500, 0.615) and Rh at (0.098, 0.500, 0.269).

=====

4.
Er2TmRh2 after structural relaxation. Source: the Alexandria database, functional GGA-PBE.

As for the formation energy from the elements: -0.68 eV per atom. For the density of states at the Fermi level, the calculation gives 0.457 states/eV per atom. As for the energy above the most stable polymorph in this dataset: 0 meV per atom.

The structure belongs to space group Cmc2_1 (No. 36); the cell edges are 3.923, 16.742 and 7.140 Å and the angles 90.00°, 90.00° and 90.00°. The inequivalent atoms are Er at (0.000, 0.031, 0.000), Er at (0.000, 0.190, 0.284), Tm at (0.000, 0.379, 0.167), Rh at (0.000, 0.194, 0.876) and Rh at (0.000, 0.445, 0.800).